A geometry-optimized KLaCl2 structure. Source: Alexandria, functional PBE.

a b c (Å): 4.1041 4.1041 8.0157
angles (deg): 90.00 90.00 90.00
Closest atoms and distances in Å follow each position.
Fractional positions:
K 0.0000 0.0000 0.4077  4 Cl 3.16
Cl 0.0000 0.0000 0.9495  4 La 2.94
Cl 0.5000 0.5000 0.2502  1 La 2.87, 4 K 3.16
La 0.5000 0.5000 0.8927  5 Cl 2.87-2.94

Summary:
DFT total energy ... -3.956 eV/atom
ΔE_f (raw) ... -1.53 eV per atom
Relative energy among the computed polymorphs ... 54 kJ/mol of formula units
Fermi-level density of states ... 3.50 states/eV/f.u.